Crystalline KLa2Au at its relaxed geometry. Source: Alexandria, functional PBE.

Geometry as CIF:
```
data_KLa2Au
_chemical_formula_sum 'K4 La8 Au4'
_cell_length_a 7.855
_cell_length_b 7.855
_cell_length_c 7.855
_cell_angle_alpha 90.00
_cell_angle_beta 90.00
_cell_angle_gamma 90.00
_space_group_name_H-M_alt 'F -4 3 m'
_space_group_IT_number 216
_space_group_name_Hall 'F -4 2 3'
loop_
_atom_site_label
_atom_site_type_symbol
_atom_site_fract_x
_atom_site_fract_y
_atom_site_fract_z
_atom_site_occupancy
K1 K 0.000 0.000 0.000 1
La1 La 0.000 0.000 0.500 1
La2 La 0.250 0.250 0.750 1
Au1 Au 0.250 0.250 0.250 1
```

Values from the calculation:
total magnetic moment = 0.00 μB per atom
energy of formation from the pure elements = 0.2068 eV per atom
DFT total energy = -53.6 eV per cell